DFT (PBE) results for a relaxed Ac6CdAg2 crystal.

Results
For the density, the calculation gives 8.41 Mg/m³. The calculated formation energy comes out at -14.1 kJ/mol of atoms. The value obtained for the spin magnetization is 0.0 μB/f.u. The volume is 37.093 Å³ per atom.

Unit cell a=10.778 b=10.864 c=11.404 alpha=90.00 beta=90.00 gamma=90.00
Space group Immm (No. 71)
One atom of each set of equivalent atoms:
Ac1 0.000 0.192 0.248 [8 per cell]
Ac2 0.205 0.500 0.176 [8 per cell]
Ac3 0.228 0.321 0.500 [8 per cell]
Cd1 0.000 0.000 0.000 [2 per cell]
Cd2 0.000 0.000 0.500 [2 per cell]
Ag1 0.000 0.351 0.000 [4 per cell]
Ag2 0.000 0.500 0.376 [4 per cell]